ReHgBr3 GGA-PBE relaxed; calculated total energy = -16.28 eV for the cell shown; raw formation energy = 0.30 eV per atom; M_tot = 3.20 μB/cell; energy relative to the lowest polymorph listed for this composition = 0.0 meV per atom
1.0
5.215 0.000 0.000
0.000 5.215 0.000
0.000 0.000 5.215
Re Hg Br
1 1 3
Cartesian
0.000 0.000 0.000
2.608 2.608 2.608
0.000 0.000 2.608
0.000 2.608 0.000
2.608 0.000 0.000